Computed, not measured: an optimized crystal structure of Li2Ni8Ge at the PBE level of DFT.

Geometry as extended XYZ:
```
11
Lattice="5.943 1.701 2.924 2.617 5.336 3.246 2.262 1.489 6.208" Properties=species:S:1:pos:R:3 pbc="T T T"
Ni 3.627 5.289 5.380
Ni 7.366 5.091 5.571
Ni 3.456 3.435 6.807
Ni 7.195 3.237 6.998
Ni 7.369 5.543 8.088
Ni 3.453 2.982 4.290
Ni 5.338 4.981 7.114
Ni 5.484 3.544 5.264
Ge 0.000 0.000 0.000
Li 3.104 1.567 2.410
Li 7.718 6.958 9.968
```

Formation enthalpy at 0 K   0.038 eV/atom
Fermi-level density of states   14.89 states/eV/cell

Computed, not measured: an optimized crystal structure of LiNi2Ge at the PBE level of DFT.

Geometry as extended XYZ:
```
4
Lattice="-0.283 -1.581 -2.948 3.407 -1.414 0.431 -1.445 -2.956 1.723" Properties=species:S:1:pos:R:3 pbc="T T T"
Ge -0.141 -0.790 -1.474
Ni -0.723 -1.478 0.862
Ni 1.704 -0.707 0.216
Li 0.840 -2.976 -0.397
```

Formation enthalpy at 0 K   -0.298 eV/atom
Fermi-level density of states   1.55 states/eV/cell

Computed, not measured: an optimized crystal structure of LiNi3Ge2 at the PBE level of DFT.

Geometry as extended XYZ:
```
18
Lattice="-0.321 -1.466 -3.539 7.967 3.124 0.072 -0.899 -7.676 3.262" Properties=species:S:1:pos:R:3 pbc="T T T"
Ge 7.020 0.843 -0.985
Ge 3.820 -5.937 0.026
Ge 5.148 -2.241 0.462
Ge -0.273 -6.861 0.780
Ge 2.927 -0.081 -0.232
Ge 1.599 -3.778 -0.667
Li 1.412 -4.862 1.886
Li 5.335 -1.157 -2.092
Li 0.000 0.000 0.000
Ni -0.610 -4.571 -0.139
Ni 3.956 -3.843 -0.854
Ni 0.349 -2.435 0.977
Ni 2.791 -2.176 0.648
Ni 1.391 -1.509 -1.588
Ni 2.036 -7.308 0.755
Ni 6.398 -3.584 -1.183
Ni 5.356 -4.510 1.383
Ni 4.711 1.289 -0.961
```

Formation enthalpy at 0 K   -0.297 eV/atom
Fermi-level density of states   11.18 states/eV/cell

The lowest formation enthalpy at 0 K belongs to which entry? LiNi2Ge